(1)
Rb3Dy2TlO6: optimized geometry, PBE-GGA.

Results
Crystal system = monoclinic
Uncorrected formation energy = -2.10 eV per atom

Geometry as POSCAR:
```
Rb3Dy2TlO6
1.0
6.0887 -0.0012 0.0018
-3.0439 5.2732 0.0018
-1.0135 -1.7549 6.5699
Rb O Dy Tl
3 6 2 1
direct
0.1637 0.8363 0.5000
0.5000 0.5000 0.5000
0.8363 0.1637 0.5000
0.0604 0.4035 0.1815
0.4035 0.0604 0.1815
0.9396 0.5965 0.8185
0.7176 0.7176 0.1807
0.5965 0.9396 0.8185
0.2824 0.2824 0.8193
0.6669 0.3331 0.0000
0.3331 0.6669 0.0000
0.0000 0.0000 0.0000
```



(2)
Rb3DyTm2O6: optimized geometry, PBE-GGA.

Results
Crystal system = monoclinic
Uncorrected formation energy = -2.73 eV per atom

Geometry as POSCAR:
```
Rb3DyTm2O6
1.0
6.0127 -0.0009 0.0003
-3.0056 5.2075 0.0003
-1.0027 -1.7361 6.5472
O Rb Tm Dy
6 3 2 1
direct
0.2796 0.2796 0.8264
0.0579 0.3953 0.1737
0.3953 0.0579 0.1737
0.6047 0.9421 0.8263
0.7204 0.7204 0.1736
0.9421 0.6047 0.8263
0.8331 0.1669 0.5000
0.1669 0.8331 0.5000
0.5000 0.5000 0.5000
0.3333 0.6667 0.0000
0.6667 0.3333 0.0000
0.0000 0.0000 0.0000
```



(3)
Rb2DyTmO4: optimized geometry, PBE-GGA.

Results
Crystal system = monoclinic
Uncorrected formation energy = -2.72 eV per atom

Geometry as POSCAR:
```
Rb2DyTmO4
1.0
-2.7015 -0.3887 2.1618
-3.5430 -1.3918 -4.6778
2.6878 -5.8686 2.3036
O Dy Rb Tm
4 1 2 1
direct
0.5000 0.7790 0.8264
0.0000 0.2715 0.8256
0.0000 0.7285 0.1744
0.5000 0.2210 0.1736
0.5000 0.5000 0.0000
0.0000 0.5000 0.5000
0.5000 0.0000 0.5000
0.0000 0.0000 0.0000
```



(4)
Rb2DyU3O12: optimized geometry, PBE-GGA.

Results
Crystal system = trigonal
Uncorrected formation energy = -2.89 eV per atom

Geometry as POSCAR:
```
Rb2DyU3O12
1.0
7.8460 -0.0999 -0.0709
3.7879 6.8718 -0.0709
3.7879 2.2049 6.5089
O Rb Dy U
12 2 1 3
direct
0.0708 0.0708 0.6632
0.0705 0.6893 0.6893
0.6632 0.0708 0.0708
0.9292 0.3368 0.9292
0.9295 0.3107 0.3107
0.6893 0.6893 0.0705
0.6893 0.0705 0.6893
0.3107 0.3107 0.9295
0.0708 0.6632 0.0708
0.3368 0.9292 0.9292
0.9292 0.9292 0.3368
0.3107 0.9295 0.3107
0.3771 0.3771 0.3771
0.6229 0.6229 0.6229
0.0000 0.0000 0.0000
0.5000 0.0000 0.0000
0.0000 0.5000 0.0000
0.0000 0.0000 0.5000
```



(5)
Rb3DyU2O9: optimized geometry, PBE-GGA.

Results
Crystal system = trigonal
Uncorrected formation energy = -2.87 eV per atom

Geometry as POSCAR:
```
Rb3DyU2O9
1.0
-5.7481 1.4193 -1.6951
1.1481 -5.3605 2.8064
-1.1714 3.2559 6.6982
O Rb Dy U
9 3 1 2
direct
0.1753 0.3506 0.3221
0.0000 0.5000 0.0000
0.6494 0.8247 0.3221
0.3506 0.1753 0.6779
0.8247 0.6494 0.6779
0.8247 0.1753 0.6779
0.5000 0.5000 0.0000
0.1753 0.8247 0.3221
0.5000 0.0000 0.0000
0.3333 0.6667 0.6623
0.0000 0.0000 0.0000
0.6667 0.3333 0.3377
0.0000 0.0000 0.5000
0.6667 0.3333 0.8325
0.3333 0.6667 0.1675
```



(6)
Rb3Dy3UO8: optimized geometry, PBE-GGA.

Results
Crystal system = trigonal
Uncorrected formation energy = -2.80 eV per atom

Geometry as POSCAR:
```
Rb3Dy3UO8
1.0
-2.1490 -6.2126 2.4388
2.3027 0.5699 -6.5982
5.3788 0.3515 5.6348
O Dy Rb U
8 3 3 1
direct
0.7829 0.5659 0.3345
0.2170 0.9486 0.6655
0.7231 0.4462 0.6692
0.2171 0.4341 0.6655
0.7316 0.9486 0.6655
0.2769 0.5538 0.3308
0.7830 0.0514 0.3345
0.2684 0.0514 0.3345
0.5000 0.5000 0.5000
0.5000 0.0000 0.5000
0.0000 0.5000 0.5000
0.0000 0.5000 0.0000
0.5000 0.5000 0.0000
0.0000 0.0000 0.0000
0.0000 0.0000 0.5000
```



(7)
Rb2DyUO6: optimized geometry, PBE-GGA.

Results
Crystal system = cubic
Uncorrected formation energy = -2.66 eV per atom

Geometry as POSCAR:
```
Rb2DyUO6
1.0
6.1887 -0.0005 -0.0006
0.0005 6.1886 -0.0005
3.0950 3.0946 4.3752
O U Rb Dy
6 1 2 1
direct
0.7386 0.2614 0.0000
0.2614 0.7386 0.0000
0.2613 0.2613 0.0001
0.7387 0.7387 0.9999
0.7387 0.7387 0.5229
0.2613 0.2613 0.4771
0.5000 0.5000 0.0000
0.7500 0.2500 0.5000
0.2500 0.7500 0.5000
0.0000 0.0000 0.0000
```